(1)
DFT (PBE) results for Tl2PC after structural relaxation.

Properties
* density of states at the Fermi level: 0.615 states/eV per atom
* spin magnetization: 0.00 Bohr magnetons per cell
* space-group type: I-42d, No. 122
* relative energy among the computed polymorphs: 0.0000 eV/atom
* electronic total energy: -30.00 eV for the cell shown
* calculated volume: 23.176 Å³ per atom
* crystal system: tetragonal
* calculated formation energy: 1.091 eV per atom

```
Tl2PC
1.0
-2.894 2.894 5.535
2.894 -2.894 5.535
2.894 2.894 -5.535
Tl P C
4 2 2
Cartesian
4.341 1.129 -1.384
1.129 1.447 1.384
-1.447 1.764 4.152
1.764 1.447 6.919
2.894 0.000 2.768
0.000 0.000 5.535
0.000 0.000 0.000
0.000 2.894 2.768
```

***

(2)
DFT (PBE) results for Pu2ThPdN4 after structural relaxation.

Properties
* density of states at the Fermi level: 1.694 states/eV per atom
* spin magnetization: 16.00 Bohr magnetons per cell
* space-group type: Cmcm, No. 63
* electronic total energy: -165.10 eV for the cell shown
* calculated volume: 14.794 Å³ per atom
* crystal system: orthorhombic
* formation energy from raw total energies: -996 meV/atom

```
Pu2ThPdN4
1.0
1.746 -5.745 0.000
1.746 5.745 0.000
0.000 0.000 11.797
Pu Th Pd N
4 2 2 8
Cartesian
1.746 4.271 6.552
1.746 4.271 11.142
1.746 -4.271 0.654
1.746 -4.271 5.244
1.746 1.269 8.847
1.746 -1.269 2.949
1.746 1.843 2.949
1.746 -1.843 8.847
1.746 5.432 8.847
1.746 3.152 1.239
1.746 3.152 4.660
1.746 0.000 0.000
1.746 0.000 5.898
1.746 -3.152 7.137
1.746 -3.152 10.558
1.746 -5.432 2.949
```

***

(3)
DFT (PBE) results for TbErCuNi after structural relaxation.

Properties
* density of states at the Fermi level: 0.662 states/eV per atom
* spin magnetization: 0.00 Bohr magnetons per cell
* space-group type: Amm2, No. 38
* relative energy among the computed polymorphs: 0.0000 eV/atom
* electronic total energy: -20.54 eV for the cell shown
* calculated volume: 20.595 Å³ per atom
* crystal system: orthorhombic
* calculated formation energy: -0.367 eV per atom

```
TbErCuNi
1.0
4.393 0.000 0.000
0.000 1.843 5.087
0.000 -1.843 5.087
Tb Er Cu Ni
1 1 1 1
Cartesian
0.000 0.000 0.000
2.197 0.000 7.342
2.197 0.000 4.391
0.000 0.000 2.919
```

***

(4)
DFT (PBE) results for Zr3Ti5Co2 after structural relaxation.

Properties
* density of states at the Fermi level: 1.140 states/eV per atom
* spin magnetization: 0.00 Bohr magnetons per cell
* space-group type: P4/mbm, No. 127
* electronic total energy: -161.11 eV for the cell shown
* calculated volume: 17.716 Å³ per atom
* crystal system: tetragonal
* calculated formation energy: -0.122 eV per atom

```
Zr3Ti5Co2
1.0
10.663 0.000 0.000
0.000 10.663 0.000
0.000 0.000 3.116
Zr Ti Co
6 10 4
Cartesian
0.000 0.000 0.000
1.878 3.454 0.000
3.454 8.785 0.000
5.332 5.332 0.000
7.210 1.878 0.000
8.785 7.210 0.000
0.000 5.332 1.558
0.693 8.352 1.558
2.311 0.693 1.558
3.021 6.025 1.558
4.639 3.021 1.558
5.332 0.000 1.558
6.025 7.643 1.558
7.643 4.639 1.558
8.352 9.970 1.558
9.970 2.311 1.558
1.313 6.645 0.000
4.019 1.313 0.000
6.645 9.350 0.000
9.350 4.019 0.000
```

***

(5)
DFT (PBE) results for Dy5TlPt after structural relaxation.

Properties
* density of states at the Fermi level: 1.148 states/eV per atom
* spin magnetization: 0.00 Bohr magnetons per cell
* space-group type: C2/c, No. 15
* electronic total energy: -67.69 eV for the cell shown
* calculated volume: 28.357 Å³ per atom
* crystal system: monoclinic
* calculated formation energy: -0.347 eV per atom

```
Dy5TlPt
1.0
4.551 -3.827 0.000
4.551 3.827 0.000
-2.967 0.000 11.397
Dy Tl Pt
10 2 2
Cartesian
2.326 3.786 8.548
1.929 1.367 1.444
2.149 1.212 5.009
0.446 -1.367 7.143
5.470 1.212 0.690
0.666 -1.212 10.707
5.689 1.367 4.255
3.986 -1.212 6.389
4.206 -1.367 9.953
3.809 -3.786 2.849
2.326 0.704 8.548
3.809 -0.704 2.849
0.000 0.000 0.000
-1.483 0.000 5.699
```

***

(6)
DFT (PBE) results for Na2PmGeTe4 after structural relaxation.

Properties
* density of states at the Fermi level: 0.538 states/eV per atom
* spin magnetization: 0.00 Bohr magnetons per cell
* space-group type: P2/m, No. 10
* electronic total energy: -30.93 eV for the cell shown
* calculated volume: 31.505 Å³ per atom
* crystal system: monoclinic
* formation energy from raw total energies: -795 meV/atom

```
Na2PmGeTe4
1.0
7.794 0.000 0.000
0.000 4.235 0.000
-2.378 0.000 7.636
Na Pm Ge Te
2 1 1 4
Cartesian
0.000 0.000 0.000
3.897 2.118 0.000
-1.189 2.118 3.818
2.708 0.000 3.818
0.252 0.000 5.603
1.479 2.118 2.120
3.938 2.118 5.516
5.164 0.000 2.033
```

***

(7)
DFT (PBE) results for MgH2PbAu after structural relaxation.

Properties
* density of states at the Fermi level: 0.304 states/eV per atom
* spin magnetization: 0.00 Bohr magnetons per cell
* space-group type: P4/mmm, No. 123
* electronic total energy: -13.63 eV for the cell shown
* calculated volume: 18.047 Å³ per atom
* crystal system: tetragonal

```
MgH2PbAu
1.0
3.919 0.000 0.000
0.000 3.919 0.000
0.000 0.000 5.876
Mg H Pb Au
1 2 1 1
Cartesian
0.000 0.000 0.000
0.000 1.959 2.938
1.959 0.000 2.938
1.959 1.959 0.000
1.959 1.959 2.938
```

***

(8)
DFT (PBE) results for Zr6ReOs5 after structural relaxation.

Properties
* density of states at the Fermi level: 0.279 states/eV per atom
* spin magnetization: 0.00 Bohr magnetons per cell
* space-group type: Immm, No. 71
* electronic total energy: -125.75 eV for the cell shown
* calculated volume: 17.790 Å³ per atom
* crystal system: orthorhombic
* calculated formation energy: -0.489 eV per atom

```
Zr6ReOs5
1.0
-2.327 3.286 6.980
2.327 -3.286 6.980
2.327 3.286 -6.980
Zr Re Os
6 1 5
Cartesian
2.327 1.640 -2.320
0.000 1.638 0.000
2.327 1.640 2.320
0.000 1.646 4.660
0.000 4.935 0.000
0.000 1.646 9.300
2.327 0.000 0.000
0.000 0.000 2.333
2.327 0.000 4.651
0.000 0.000 6.980
0.000 3.286 2.329
0.000 0.000 11.627
```